A plane-wave DFT calculation with PBE was carried out for a geometry-optimized Ac2TbPm4Nd2 structure.

Lattice parameters (Å, degrees): 3.766 9.888 10.027 115.29 90.00 100.98
Atoms (fractional coordinates):
Pm 0.482 0.964 0.681
Pm 0.518 0.036 0.319
Pm 0.816 0.633 0.669
Pm 0.184 0.367 0.331
Nd 0.336 0.671 0.996
Nd 0.664 0.329 0.004
Ac 0.146 0.292 0.665
Ac 0.854 0.708 0.335
Tb 0.000 0.000 0.000

Magnetic moment = 0.000 μB/f.u.
E_tot = -41.10 eV per cell
DOS at the Fermi energy = 11.81 states/eV per cell